No. 1
Entry from Alexandria: crystalline Pr5YBi4 at its relaxed geometry (PBE).

Computed properties:
- E_tot (eV/atom) = -5.163
- DFT formation energy (eV per atom) = -0.57
- symmetry = C2/m (12)

a b c (Å): 10.073 10.073 8.837
angles (deg): 105.15 105.15 25.92
Sites, in units of the cell vectors:
Pr  0.000  0.000  0.000
Pr  0.323  0.323  0.149
Pr  0.336  0.336  0.678
Pr  0.664  0.664  0.322
Pr  0.677  0.677  0.851
Y  0.000  0.000  0.500
Bi  0.167  0.167  0.585
Bi  0.493  0.493  0.251
Bi  0.507  0.507  0.749
Bi  0.833  0.833  0.415

No. 2
Entry from Alexandria: crystalline PrY2Bi at its relaxed geometry (PBE).

Computed properties:
- E_tot (eV/atom) = -5.774
- DFT formation energy (eV per atom) = -0.38
- symmetry = P4/mmm (123)

a b c (Å): 4.979 4.979 4.857
angles (deg): 90.00 90.00 90.00
Sites, in units of the cell vectors:
Pr  0.000  0.000  0.000
Y  0.000  0.500  0.500
Y  0.500  0.000  0.500
Bi  0.500  0.500  0.000

No. 3
Entry from Alexandria: crystalline Pr3YBi3 at its relaxed geometry (PBE).

Computed properties:
- E_tot (eV/atom) = -5.367
- DFT formation energy (eV per atom) = -0.73
- symmetry = R-3 (148)

a b c (Å): 8.451 8.451 8.451
angles (deg): 67.57 67.57 67.57
Sites, in units of the cell vectors:
Pr  0.090  0.343  0.824
Pr  0.176  0.910  0.657
Pr  0.343  0.824  0.090
Pr  0.657  0.176  0.910
Pr  0.824  0.090  0.343
Pr  0.910  0.657  0.176
Y  0.333  0.333  0.333
Y  0.667  0.667  0.667
Bi  0.076  0.691  0.473
Bi  0.309  0.527  0.924
Bi  0.473  0.076  0.691
Bi  0.527  0.924  0.309
Bi  0.691  0.473  0.076
Bi  0.924  0.309  0.527

No. 4
Entry from Alexandria: crystalline Pr8YBi6 at its relaxed geometry (PBE).

Computed properties:
- E_tot (eV/atom) = -5.137
- DFT formation energy (eV per atom) = -0.60
- symmetry = R-3 (148)

a b c (Å): 10.081 10.081 10.081
angles (deg): 49.27 49.27 49.27
Sites, in units of the cell vectors:
Pr  0.038  0.716  0.380
Pr  0.167  0.167  0.167
Pr  0.284  0.620  0.962
Pr  0.380  0.038  0.716
Pr  0.620  0.962  0.284
Pr  0.716  0.380  0.038
Pr  0.833  0.833  0.833
Pr  0.962  0.284  0.620
Y  0.500  0.500  0.500
Bi  0.109  0.433  0.761
Bi  0.239  0.891  0.567
Bi  0.433  0.761  0.109
Bi  0.567  0.239  0.891
Bi  0.761  0.109  0.433
Bi  0.891  0.567  0.239

No. 5
Entry from Alexandria: crystalline PrY2Bi at its relaxed geometry (PBE).

Computed properties:
- E_tot (eV/atom) = -5.767
- DFT formation energy (eV per atom) = -0.37
- symmetry = P4/mmm (123)

a b c (Å): 4.060 4.060 7.562
angles (deg): 90.00 90.00 90.00
Sites, in units of the cell vectors:
Pr  0.000  0.000  0.000
Y  0.500  0.500  0.278
Y  0.500  0.500  0.722
Bi  0.000  0.000  0.500

No. 6
Entry from Alexandria: crystalline Pr3YBi3 at its relaxed geometry (PBE).

Computed properties:
- E_tot (eV/atom) = -5.455
- DFT formation energy (eV per atom) = -0.82
- symmetry = P2_13 (198)

a b c (Å): 9.685 9.685 9.685
angles (deg): 90.00 90.00 90.00
Sites, in units of the cell vectors:
Pr  0.067  0.433  0.567
Pr  0.176  0.824  0.324
Pr  0.178  0.178  0.178
Pr  0.322  0.822  0.678
Pr  0.324  0.176  0.824
Pr  0.433  0.567  0.067
Pr  0.567  0.067  0.433
Pr  0.676  0.676  0.676
Pr  0.678  0.322  0.822
Pr  0.822  0.678  0.322
Pr  0.824  0.324  0.176
Pr  0.933  0.933  0.933
Y  0.073  0.573  0.927
Y  0.427  0.427  0.427
Y  0.573  0.927  0.073
Y  0.927  0.073  0.573
Bi  0.002  0.257  0.871
Bi  0.129  0.502  0.243
Bi  0.243  0.129  0.502
Bi  0.257  0.871  0.002
Bi  0.371  0.498  0.743
Bi  0.498  0.743  0.371
Bi  0.502  0.243  0.129
Bi  0.629  0.998  0.757
Bi  0.743  0.371  0.498
Bi  0.757  0.629  0.998
Bi  0.871  0.002  0.257
Bi  0.998  0.757  0.629

No. 7
Entry from Alexandria: crystalline Pr5ZnBi2 at its relaxed geometry (PBE).

Computed properties:
- E_tot (eV/atom) = -4.384
- DFT formation energy (eV per atom) = -0.27
- symmetry = Cmcm (63)

a b c (Å): 6.788 6.788 14.571
angles (deg): 90.00 90.00 126.73
Sites, in units of the cell vectors:
Pr  0.075  0.925  0.608
Pr  0.075  0.925  0.892
Pr  0.374  0.626  0.554
Pr  0.374  0.626  0.946
Pr  0.411  0.589  0.250
Pr  0.589  0.411  0.750
Pr  0.626  0.374  0.054
Pr  0.626  0.374  0.446
Pr  0.925  0.075  0.108
Pr  0.925  0.075  0.392
Zn  0.287  0.713  0.750
Zn  0.713  0.287  0.250
Bi  0.194  0.806  0.118
Bi  0.194  0.806  0.382
Bi  0.806  0.194  0.618
Bi  0.806  0.194  0.882

No. 8
Entry from Alexandria: crystalline Pr3ZnBi at its relaxed geometry (PBE).

Computed properties:
- E_tot (eV/atom) = -4.275
- DFT formation energy (eV per atom) = -0.38
- symmetry = P2_1/m (11)

a b c (Å): 5.656 6.612 8.819
angles (deg): 90.00 90.12 90.00
Sites, in units of the cell vectors:
Pr  0.000  0.000  0.000
Pr  0.000  0.500  0.000
Pr  0.001  0.250  0.365
Pr  0.499  0.250  0.744
Pr  0.501  0.750  0.256
Pr  0.999  0.750  0.635
Zn  0.001  0.750  0.302
Zn  0.999  0.250  0.698
Bi  0.499  0.750  0.848
Bi  0.501  0.250  0.152

No. 9
Entry from Alexandria: crystalline PrZn4Bi at its relaxed geometry (PBE).

Computed properties:
- E_tot (eV/atom) = -2.422
- DFT formation energy (eV per atom) = -0.13
- symmetry = F-43m (216)

a b c (Å): 5.644 5.644 5.644
angles (deg): 60.00 60.00 60.00
Sites, in units of the cell vectors:
Pr  0.000  0.000  0.000
Zn  0.125  0.625  0.625
Zn  0.625  0.125  0.625
Zn  0.625  0.625  0.125
Zn  0.625  0.625  0.625
Bi  0.250  0.250  0.250

No. 10
Entry from Alexandria: crystalline Pr5ZnBi3 at its relaxed geometry (PBE).

Computed properties:
- E_tot (eV/atom) = -4.833
- DFT formation energy (eV per atom) = -0.74
- symmetry = P6_3/mcm (193)

a b c (Å): 9.752 9.752 6.684
angles (deg): 90.00 90.00 120.00
Sites, in units of the cell vectors:
Pr  0.000  0.263  0.250
Pr  0.000  0.737  0.750
Pr  0.263  0.000  0.250
Pr  0.263  0.263  0.750
Pr  0.333  0.667  0.000
Pr  0.333  0.667  0.500
Pr  0.667  0.333  0.000
Pr  0.667  0.333  0.500
Pr  0.737  0.000  0.750
Pr  0.737  0.737  0.250
Zn  0.000  0.000  0.000
Zn  0.000  0.000  0.500
Bi  0.000  0.381  0.750
Bi  0.000  0.619  0.250
Bi  0.381  0.000  0.750
Bi  0.381  0.381  0.250
Bi  0.619  0.000  0.250
Bi  0.619  0.619  0.750

No. 11
Entry from Alexandria: crystalline PrZn2Bi at its relaxed geometry (PBE).

Computed properties:
- E_tot (eV/atom) = -3.134
- DFT formation energy (eV per atom) = -0.33
- symmetry = P4/mmm (123)

a b c (Å): 4.581 4.581 4.664
angles (deg): 90.00 90.00 90.00
Sites, in units of the cell vectors:
Pr  0.000  0.000  0.000
Zn  0.000  0.500  0.500
Zn  0.500  0.000  0.500
Bi  0.500  0.500  0.000

No. 12
Entry from Alexandria: crystalline PrZnBi at its relaxed geometry (PBE).

Computed properties:
- E_tot (eV/atom) = -3.604
- DFT formation energy (eV per atom) = -0.29
- symmetry = R-3m (166)

a b c (Å): 9.735 9.735 9.735
angles (deg): 27.59 27.59 27.59
Sites, in units of the cell vectors:
Pr  0.065  0.065  0.065
Pr  0.935  0.935  0.935
Zn  0.335  0.335  0.335
Zn  0.665  0.665  0.665
Bi  0.198  0.198  0.198
Bi  0.802  0.802  0.802